Material: InFeRu2
Method: DFT, PBE-GGA
State: relaxed

Cell lengths 7.1028, 7.1028, 5.1393 Å; angles 90.00, 90.00, 90.00 degrees
Closest atoms and distances in Å follow each position.
Space group I-42d (No. 122)
Unique sites:
1 In 0.0000 0.0000 0.0000  2 Fe 2.57
2 Fe 0.0000 0.0000 0.5000  4 Ru 2.31, 2 In 2.57
3 Ru 0.1861 0.7500 0.6250  2 Fe 2.31



Material: In2FeRu
Method: DFT, PBE-GGA
State: relaxed

Output
- energy relative to the lowest polymorph listed for this composition (meV/atom) = 194

Cell lengths 4.9241, 5.5190, 5.6108 Å; angles 85.81, 82.86, 87.23 degrees
Closest atoms and distances in Å follow each position.
Space group P1 (No. 1)
Unique sites:
1 In 0.0000 0.0000 0.0000  4 Fe 2.66-2.82
2 In 0.1648 0.7154 0.5463  2 Fe 2.72-2.96, 3 Ru 2.77-2.86, 1 In 2.92
3 In 0.4513 0.3591 0.8464  2 Fe 2.64-2.71, 1 Ru 2.76, 1 In 2.92
4 In 0.7139 0.5112 0.2632  2 Fe 2.77-2.98, 2 Ru 2.78-3.00, 1 In 3.00
5 Fe 0.4623 0.0106 0.2126  1 Fe 2.14, 2 Ru 2.26-2.35
6 Fe 0.5430 0.8189 0.8927  1 Fe 2.14, 1 Ru 2.28
7 Ru 0.1299 0.2313 0.4558  1 Fe 2.35, 1 Ru 2.48
8 Ru 0.6899 0.0230 0.5365  2 Fe 2.26-2.28, 1 Ru 2.48



What did we get for total moment? Answer: 0.00; 0.00 μB per formula unit, in the order shown.
What did we get for energy relative to the elements? Answer: 242; 114 kJ/mol of formula units, in the order shown.